TbErCuAu: relaxed, PBE.

The structure in POSCAR format:
```
TbErCuAu
1.0
0.000 3.537 3.537
3.537 0.000 3.537
3.537 3.537 0.000
Tb Er Cu Au
1 1 1 1
Direct
0.000 0.000 0.000
0.500 0.500 0.500
0.250 0.250 0.250
0.750 0.750 0.750
```

## Properties
- ΔE_f (eV per atom) = -0.5535
- VASP energy (eV/atom) = -4.695
- space-group type = F-43m (216)